# 1
First-principles (SCAN) data for a crystal of TaWAu relaxed with PBEsol, as listed in Alexandria.

- Magnetic moment: 0.0 μB per cell
- V: 50 Å³/cell
- Electronic total energy: -68.2128 eV per atom
- SG: No. 156
- ΔH_f (0 K): 263.3 meV per atom

Cell lengths 2.6288, 4.6958, 4.6958 Å; angles 120.00, 90.00, 90.00 degrees
Sites, in units of the cell vectors:
Au (0.8354, 0.0000, 0.0000)
Ta (0.8310, 0.3333, 0.6667)
W (0.3336, 0.6667, 0.3333)

---

# 2
First-principles (SCAN) data for a crystal of TaZnAu2 relaxed with PBEsol, as listed in Alexandria.

- Magnetic moment: 0.0 μB per cell
- V: 66 Å³/cell
- Electronic total energy: -54.5460 eV per atom
- SG: No. 123
- ΔH_f (0 K): 57.1 meV per atom

Cell lengths 3.9808, 4.0661, 4.0661 Å; angles 90.00, 90.00, 90.00 degrees
Sites, in units of the cell vectors:
Au (0.0000, 0.0000, 0.5000)
Au (0.0000, 0.5000, 0.0000)
Ta (0.5000, 0.5000, 0.5000)
Zn (0.5000, 0.0000, 0.0000)

---

# 3
First-principles (SCAN) data for a crystal of TaZnAu2 relaxed with PBEsol, as listed in Alexandria.

- Magnetic moment: 0.0 μB per cell
- V: 65 Å³/cell
- Electronic total energy: -54.7521 eV per atom
- SG: No. 99
- ΔH_f (0 K): -149.0 meV per atom

Cell lengths 2.8788, 2.8788, 7.7983 Å; angles 90.00, 90.00, 90.00 degrees
Sites, in units of the cell vectors:
Zn (0.5000, 0.5000, 0.7531)
Au (0.0000, 0.0000, 0.9809)
Au (0.5000, 0.5000, 0.2550)
Ta (0.0000, 0.0000, 0.5110)

---

# 4
First-principles (SCAN) data for a crystal of TaZnAu2 relaxed with PBEsol, as listed in Alexandria.

- Magnetic moment: 0.0 μB per cell
- V: 65 Å³/cell
- Electronic total energy: -54.8144 eV per atom
- SG: No. 123
- ΔH_f (0 K): -211.3 meV per atom

Cell lengths 2.8974, 2.8974, 7.6936 Å; angles 90.00, 90.00, 90.00 degrees
Sites, in units of the cell vectors:
Zn (0.5000, 0.5000, 0.5000)
Au (0.0000, 0.0000, 0.7401)
Au (0.0000, 0.0000, 0.2599)
Ta (0.5000, 0.5000, 0.0000)

---

# 5
First-principles (SCAN) data for a crystal of TaZn2Au relaxed with PBEsol, as listed in Alexandria.

- Polymorph energy (0 for the lowest one): 1.7 meV/atom
- Magnetic moment: 0.0 μB per cell
- V: 62 Å³/cell
- Electronic total energy: -40.8362 eV per atom
- SG: No. 123
- ΔH_f (0 K): -143.5 meV per atom

Cell lengths 2.8564, 2.8564, 7.5459 Å; angles 90.00, 90.00, 90.00 degrees
Sites, in units of the cell vectors:
Zn (0.0000, 0.0000, 0.7564)
Zn (0.0000, 0.0000, 0.2436)
Au (0.5000, 0.5000, 0.0000)
Ta (0.5000, 0.5000, 0.5000)

---

# 6
First-principles (SCAN) data for a crystal of TaZn2Au relaxed with PBEsol, as listed in Alexandria.

- Polymorph energy (0 for the lowest one): 191.2 meV/atom
- Magnetic moment: 0.0 μB per cell
- V: 62 Å³/cell
- Electronic total energy: -40.6467 eV per atom
- SG: No. 44
- ΔH_f (0 K): 46.0 meV per atom

Cell lengths 2.7572, 4.7483, 5.4906 Å; angles 115.62, 104.54, 90.00 degrees
Sites, in units of the cell vectors:
Au (0.5105, 0.5105, 0.0209)
Ta (0.7468, 0.2468, 0.4937)
Zn (0.9885, 0.9885, 0.9770)
Zn (0.2542, 0.7542, 0.5084)

---

# 7
First-principles (SCAN) data for a crystal of TaZnAu2 relaxed with PBEsol, as listed in Alexandria.

- Magnetic moment: 0.0 μB per cell
- V: 66 Å³/cell
- Electronic total energy: -54.6199 eV per atom
- SG: No. 160
- ΔH_f (0 K): -16.8 meV per atom

Cell lengths 2.8881, 2.8881, 9.2776 Å; angles 81.05, 81.05, 60.00 degrees
Sites, in units of the cell vectors:
Au (0.9959, 0.9959, 0.0122)
Au (0.7510, 0.7510, 0.7471)
Ta (0.5015, 0.5015, 0.4954)
Zn (0.2516, 0.2516, 0.2452)

---

# 8
First-principles (SCAN) data for a crystal of TaZn2Au relaxed with PBEsol, as listed in Alexandria.

- Polymorph energy (0 for the lowest one): 0.0 meV/atom
- Magnetic moment: 0.0 μB per cell
- V: 61 Å³/cell
- Electronic total energy: -40.8379 eV per atom
- SG: No. 99
- ΔH_f (0 K): -145.2 meV per atom

Cell lengths 2.8890, 2.8890, 7.3364 Å; angles 90.00, 90.00, 90.00 degrees
Sites, in units of the cell vectors:
Zn (0.0000, 0.0000, 0.0142)
Zn (0.5000, 0.5000, 0.2375)
Au (0.0000, 0.0000, 0.4855)
Ta (0.5000, 0.5000, 0.7627)

---

# 9
First-principles (SCAN) data for a crystal of ZrTa2Au relaxed with PBEsol, as listed in Alexandria.

- Polymorph energy (0 for the lowest one): 0.0 meV/atom
- Magnetic moment: 0.0 μB per cell
- V: 72 Å³/cell
- Electronic total energy: -58.4308 eV per atom
- SG: No. 47
- ΔH_f (0 K): -175.2 meV per atom

Cell lengths 3.4960, 4.4838, 4.6202 Å; angles 90.00, 90.00, 90.00 degrees
Sites, in units of the cell vectors:
Au (0.0000, 0.5000, 0.5000)
Ta (0.0000, 0.0000, 0.0000)
Ta (0.5000, 0.5000, 0.0000)
Zr (0.5000, 0.0000, 0.5000)

---

# 10
First-principles (SCAN) data for a crystal of ZrTa2Au relaxed with PBEsol, as listed in Alexandria.

- Polymorph energy (0 for the lowest one): 32.5 meV/atom
- Magnetic moment: 0.0 μB per cell
- V: 73 Å³/cell
- Electronic total energy: -58.3983 eV per atom
- SG: No. 35
- ΔH_f (0 K): -142.7 meV per atom

Cell lengths 2.8817, 2.8817, 8.9764 Å; angles 90.00, 90.00, 102.31 degrees
Sites, in units of the cell vectors:
Au (0.5000, 0.5000, 0.2421)
Ta (0.0000, 0.0000, 0.0021)
Ta (0.5000, 0.5000, 0.7584)
Zr (0.0000, 0.0000, 0.4973)

---

# 11
First-principles (SCAN) data for a crystal of ZrTa2Au relaxed with PBEsol, as listed in Alexandria.

- Polymorph energy (0 for the lowest one): 43.4 meV/atom
- Magnetic moment: 0.0 μB per cell
- V: 72 Å³/cell
- Electronic total energy: -58.3873 eV per atom
- SG: No. 216
- ΔH_f (0 K): -131.7 meV per atom

Cell lengths 4.6768, 4.6768, 4.6768 Å; angles 60.00, 60.00, 60.00 degrees
Sites, in units of the cell vectors:
Au (0.5000, 0.5000, 0.5000)
Ta (0.0000, 0.0000, 0.0000)
Ta (0.7500, 0.7500, 0.7500)
Zr (0.2500, 0.2500, 0.2500)

---

# 12
First-principles (SCAN) data for a crystal of ZrTaAu2 relaxed with PBEsol, as listed in Alexandria.

- Magnetic moment: 0.0 μB per cell
- V: 73 Å³/cell
- Electronic total energy: -59.1949 eV per atom
- SG: No. 99
- ΔH_f (0 K): -295.9 meV per atom

Cell lengths 3.0030, 3.0030, 8.0940 Å; angles 90.00, 90.00, 90.00 degrees
Sites, in units of the cell vectors:
Au (0.0000, 0.0000, 0.0070)
Au (0.5000, 0.5000, 0.2530)
Ta (0.0000, 0.0000, 0.4846)
Zr (0.5000, 0.5000, 0.7554)

---

# 13
First-principles (SCAN) data for a crystal of ZrTa4Au relaxed with PBEsol, as listed in Alexandria.

- Magnetic moment: 0.0 μB per cell
- V: 113 Å³/cell
- Electronic total energy: -60.8903 eV per atom
- SG: No. 216
- ΔH_f (0 K): 141.2 meV per atom

Cell lengths 5.4253, 5.4253, 5.4253 Å; angles 60.00, 60.00, 60.00 degrees
Sites, in units of the cell vectors:
Au (0.0000, 0.0000, 0.0000)
Ta (0.8693, 0.3769, 0.3769)
Ta (0.3769, 0.3769, 0.3769)
Ta (0.3769, 0.3769, 0.8693)
Ta (0.3769, 0.8693, 0.3769)
Zr (0.7500, 0.7500, 0.7500)

---

# 14
First-principles (SCAN) data for a crystal of TbAu2 relaxed with PBEsol, as listed in Alexandria.

- Magnetic moment: 0.0 μB per cell
- V: 61 Å³/cell
- Electronic total energy: -62.7479 eV per atom
- SG: No. 139
- ΔH_f (0 K): -1055.8 meV per atom

Cell lengths 5.1719, 5.1719, 5.1719 Å; angles 138.25, 138.25, 60.52 degrees
Sites, in units of the cell vectors:
Au (0.6661, 0.6661, 0.0000)
Au (0.3339, 0.3339, 0.0000)
Tb (0.0000, 0.0000, 0.0000)